Computed, not measured: crystalline BeOs2Pb at its relaxed geometry at the PBE level of DFT.

Calculated values
VASP energy in eV per atom: -6.87
ΔE_f in eV/atom: 0.604
Distance to the lowest polymorph of the same formula in meV/atom: 177

Lattice parameters (Å, degrees): 2.9593 3.8735 5.5693 90.00 102.75 90.00
Space group P2/m (No. 10)
One atom of each set of equivalent atoms:
Be1 0.0000 0.0000 0.0000 x1
Os1 0.3449 0.5000 0.1997 x2
Pb1 0.0000 0.0000 0.5000 x1



Computed, not measured: crystalline Be2OsPb at its relaxed geometry at the PBE level of DFT.

Calculated values
VASP energy in eV per atom: -5.38
ΔE_f in eV/atom: 0.217

Lattice parameters (Å, degrees): 3.0363 3.0363 6.6595 90.00 90.00 90.00
Space group P4/mmm (No. 123)
One atom of each set of equivalent atoms:
Be1 0.0000 0.0000 0.1525 x2
Os1 0.5000 0.5000 0.0000 x1
Pb1 0.5000 0.5000 0.5000 x1



Computed, not measured: crystalline Be2OsPb at its relaxed geometry at the PBE level of DFT.

Calculated values
VASP energy in eV per atom: -4.98
ΔE_f in eV/atom: 0.620

Lattice parameters (Å, degrees): 5.6373 6.0818 3.2236 90.00 90.00 90.00
Space group Cmmm (No. 65)
One atom of each set of equivalent atoms:
Be1 0.2500 0.2500 0.0000 x4
Os1 0.0000 0.0000 0.5000 x2
Pb1 0.0000 0.5000 0.5000 x2



Computed, not measured: crystalline Be2OsPb at its relaxed geometry at the PBE level of DFT.

Calculated values
VASP energy in eV per atom: -5.37
ΔE_f in eV/atom: 0.226

Lattice parameters (Å, degrees): 6.7325 3.8843 5.2784 90.00 115.13 90.00
Space group Cm (No. 8)
One atom of each set of equivalent atoms:
Be1 0.0000 0.0000 0.0000 x2
Be2 0.1802 0.5000 0.0408 x2
Os1 0.3811 0.0000 0.1435 x2
Pb1 0.1843 0.0000 0.5506 x2



Computed, not measured: crystalline BeOs2Pb at its relaxed geometry at the PBE level of DFT.

Calculated values
VASP energy in eV per atom: -6.81
ΔE_f in eV/atom: 0.664
Distance to the lowest polymorph of the same formula in meV/atom: 237

Lattice parameters (Å, degrees): 3.0188 3.0188 6.7240 90.00 90.00 90.00
Space group P4/mmm (No. 123)
One atom of each set of equivalent atoms:
Be1 0.0000 0.0000 0.0000 x1
Os1 0.5000 0.5000 0.1875 x2
Pb1 0.0000 0.0000 0.5000 x1



Computed, not measured: crystalline BeOs2Pb at its relaxed geometry at the PBE level of DFT.

Calculated values
VASP energy in eV per atom: -6.51
ΔE_f in eV/atom: 0.962
Distance to the lowest polymorph of the same formula in meV/atom: 535

Lattice parameters (Å, degrees): 4.0040 4.0040 3.8844 90.00 90.00 90.00
Space group P4/mmm (No. 123)
One atom of each set of equivalent atoms:
Be1 0.0000 0.0000 0.0000 x1
Os1 0.0000 0.5000 0.5000 x2
Pb1 0.5000 0.5000 0.0000 x1



Computed, not measured: crystalline BeOs2Pb at its relaxed geometry at the PBE level of DFT.

Calculated values
VASP energy in eV per atom: -6.56
ΔE_f in eV/atom: 0.912
Distance to the lowest polymorph of the same formula in meV/atom: 485

Lattice parameters (Å, degrees): 3.9567 3.9567 7.9510 90.00 90.00 90.00
Space group I-4m2 (No. 119)
One atom of each set of equivalent atoms:
Be1 0.0000 0.0000 0.0000 x2
Os1 0.0000 0.0000 0.5000 x2
Os2 0.0000 0.5000 0.7500 x2
Pb1 0.0000 0.5000 0.2500 x2



Computed, not measured: crystalline Be2OsPb at its relaxed geometry at the PBE level of DFT.

Calculated values
VASP energy in eV per atom: -5.04
ΔE_f in eV/atom: 0.558

Lattice parameters (Å, degrees): 3.0134 3.0134 24.1929 90.00 90.00 120.00
Space group R-3m (No. 166, hexagonal axes)
One atom of each set of equivalent atoms:
Be1 0.0000 0.0000 0.2314 x6
Os1 0.0000 0.0000 0.5000 x3
Pb1 0.0000 0.0000 0.0000 x3



Computed, not measured: crystalline Be2OsPb at its relaxed geometry at the PBE level of DFT.

Calculated values
VASP energy in eV per atom: -5.00
ΔE_f in eV/atom: 0.601

Lattice parameters (Å, degrees): 3.1818 4.2738 8.3254 90.00 90.00 90.00
Space group Imm2 (No. 44)
One atom of each set of equivalent atoms:
Be1 0.0000 0.0000 0.0000 x2
Be2 0.0000 0.5000 0.2700 x2
Os1 0.0000 0.5000 0.7220 x2
Pb1 0.0000 0.0000 0.5014 x2



Computed, not measured: crystalline BeOs2Pb at its relaxed geometry at the PBE level of DFT.

Calculated values
VASP energy in eV per atom: -6.66
ΔE_f in eV/atom: 0.813
Distance to the lowest polymorph of the same formula in meV/atom: 385

Lattice parameters (Å, degrees): 4.2384 4.2384 16.8030 90.00 90.00 90.00
Space group I-42d (No. 122)
One atom of each set of equivalent atoms:
Be1 0.0000 0.0000 0.0000 x4
Os1 0.1318 0.2500 0.1250 x8
Pb1 0.0000 0.0000 0.5000 x4



Computed, not measured: crystalline BeOs4Pb at its relaxed geometry at the PBE level of DFT.

Calculated values
VASP energy in eV per atom: -7.67
ΔE_f in eV/atom: 1.060

Lattice parameters (Å, degrees): 7.4117 7.4117 7.4117 90.00 90.00 90.00
Space group F-43m (No. 216)
One atom of each set of equivalent atoms:
Be1 0.0000 0.0000 0.0000 x4
Os1 0.1255 0.1255 0.6255 x16
Pb1 0.2500 0.2500 0.2500 x4



Computed, not measured: crystalline BeOsPb2 at its relaxed geometry at the PBE level of DFT.

Calculated values
VASP energy in eV per atom: -4.64
ΔE_f in eV/atom: 0.956

Lattice parameters (Å, degrees): 3.3772 3.3772 24.1271 90.00 90.00 120.00
Space group R-3m (No. 166, hexagonal axes)
One atom of each set of equivalent atoms:
Be1 0.0000 0.0000 0.0000 x3
Os1 0.0000 0.0000 0.5000 x3
Pb1 0.0000 0.0000 0.2518 x6



- The highest ΔE_f belongs to which entry?
  BeOs4Pb



- Which of these has the highest ΔE_f?
  BeOs4Pb